Mn2NbHW: optimized geometry, GGA-PBE.

Geometry as POSCAR:
```
Mn2NbHW
1.0
3.878 0.000 0.000
0.000 3.878 0.000
0.000 0.000 3.899
Mn H Nb W
2 1 1 1
Cartesian
1.939 0.000 0.000
0.000 1.939 0.000
0.000 0.000 0.000
1.939 1.939 1.949
0.000 0.000 1.949
```

## Properties
- Space group: P4/mmm
- Total moment: 0.00 μB/atom
- VASP energy: -8.727 eV per atom

Mn2NbHW: optimized geometry, GGA-PBE.

Geometry as POSCAR:
```
Mn2NbHW
1.0
3.859 0.000 0.000
0.000 3.859 0.000
0.000 0.000 3.929
W Mn H Nb
1 2 1 1
Cartesian
1.930 1.930 1.964
1.930 0.000 0.000
0.000 1.930 0.000
0.000 0.000 0.000
0.000 0.000 1.964
```

## Properties
- Space group: P4/mmm
- Total moment: 0.00 μB/atom
- VASP energy: -8.744 eV per atom

Mn2NbZnH: optimized geometry, GGA-PBE.

Geometry as POSCAR:
```
Mn2NbZnH
1.0
3.862 0.000 0.000
0.000 3.862 0.000
0.000 0.000 3.869
H Mn Nb Zn
1 2 1 1
Cartesian
0.000 0.000 0.000
1.931 0.000 0.000
0.000 1.931 0.000
0.000 0.000 1.934
1.931 1.931 1.934
```

## Properties
- Space group: P4/mmm
- Total moment: 0.62 μB/atom
- VASP energy: -6.586 eV per atom

Mn2NbZnH: optimized geometry, GGA-PBE.

Geometry as POSCAR:
```
Mn2NbZnH
1.0
4.797 0.000 0.000
0.000 3.461 0.000
0.000 0.000 4.797
H Nb Zn Mn
1 1 1 2
Cartesian
0.000 1.730 0.000
0.000 0.000 0.000
2.399 1.730 2.399
2.399 0.000 0.000
0.000 0.000 2.399
```

## Properties
- Space group: P4/mmm
- Total moment: 1.09 μB/atom
- VASP energy: -5.725 eV per atom

MnNbZnH2: optimized geometry, GGA-PBE.

Geometry as POSCAR:
```
MnNbZnH2
1.0
-3.563 -0.048 0.850
0.855 -3.283 3.396
0.547 2.672 2.445
H Zn Nb Mn
2 1 1 1
Cartesian
-1.781 -0.024 0.425
0.274 1.336 1.223
-1.080 -0.330 3.346
0.428 -1.642 1.698
0.000 0.000 0.000
```

## Properties
- Space group: P4/mmm
- Total moment: 0.30 μB/atom
- VASP energy: -4.739 eV per atom

Zr2MnNbH: optimized geometry, GGA-PBE.

Geometry as POSCAR:
```
Zr2MnNbH
1.0
-2.762 -3.513 1.432
3.632 -1.936 2.255
-0.809 1.795 2.844
Nb Zr H Mn
1 2 1 1
Cartesian
0.030 -1.827 3.265
-1.381 -1.757 0.716
1.816 -0.968 1.128
0.000 0.000 0.000
-0.405 0.897 1.422
```

## Properties
- Space group: P4/mmm
- Total moment: 0.24 μB/atom
- VASP energy: -7.969 eV per atom

NdMnH: optimized geometry, GGA-PBE.

Geometry as POSCAR:
```
NdMnH
1.0
-0.138 -1.133 2.910
3.288 0.893 0.504
-2.402 8.079 1.353
Mn Nd H
2 2 2
Cartesian
1.253 4.357 1.756
-0.505 3.482 3.010
0.337 1.699 0.677
0.412 6.140 4.089
-1.401 6.983 2.652
2.149 0.856 2.114
```

## Properties
- Space group: Cmcm
- Total moment: 0.00 μB/atom
- VASP energy: -5.643 eV per atom

NdMnH3: optimized geometry, GGA-PBE.

Geometry as POSCAR:
```
NdMnH3
1.0
3.661 0.000 0.000
0.000 3.661 0.000
0.000 0.000 3.661
H Mn Nd
3 1 1
Cartesian
0.000 1.831 0.000
0.000 0.000 1.831
1.831 0.000 0.000
0.000 0.000 0.000
1.831 1.831 1.831
```

## Properties
- Space group: Pm-3m
- Total moment: 0.36 μB/atom
- VASP energy: -5.104 eV per atom

Question: VASP energy of number 2 (Mn2NbHW)?
Answer: -8.744 eV per atom

Question: total moment of number 4 (Mn2NbZnH)?
Answer: 1.09 μB/atom

Repeat the fourth record exactly.
Mn2NbZnH: optimized geometry, GGA-PBE.

Geometry as POSCAR:
```
Mn2NbZnH
1.0
4.797 0.000 0.000
0.000 3.461 0.000
0.000 0.000 4.797
H Nb Zn Mn
1 1 1 2
Cartesian
0.000 1.730 0.000
0.000 0.000 0.000
2.399 1.730 2.399
2.399 0.000 0.000
0.000 0.000 2.399
```

## Properties
- Space group: P4/mmm
- Total moment: 1.09 μB/atom
- VASP energy: -5.725 eV per atom

Question: total moment of number 6 (Zr2MnNbH)?
Answer: 0.24 μB/atom